RbNdW2O8: single point on PBEsol structure, meta-GGA SCAN.

Summary:
As for the density of states at the Fermi level: 0.00 states/eV per cell. Its crystal system is monoclinic. The calculation puts the total DFT energy (no corrections) at -23.8504 eV/atom. The formation energy from raw total energies is -2.72 eV/atom. The calculation puts the total magnetization at 0.0 Bohr magnetons per cell.

CIF file:
```
data_RbNdW2O8
_chemical_formula_sum 'Rb4 Nd4 W8 O32'
_cell_length_a 10.7757
_cell_length_b 10.6983
_cell_length_c 7.5663
_cell_angle_alpha 90.00
_cell_angle_beta 130.37
_cell_angle_gamma 90.00
_space_group_name_H-M_alt 'C 1 2/c 1'
_space_group_IT_number 15
loop_
_space_group_symop_operation_xyz
'x,y,z'
'-x,-y,-z'
'-x,y,-z+1/2'
'x,-y,z+1/2'
'x+1/2,y+1/2,z'
'-x+1/2,-y+1/2,-z'
'-x+1/2,y+1/2,-z+1/2'
'x+1/2,-y+1/2,z+1/2'
loop_
_atom_site_label
_atom_site_type_symbol
_atom_site_fract_x
_atom_site_fract_y
_atom_site_fract_z
Rb1 Rb 0.0000 0.2006 0.2500
Nd1 Nd 0.0000 0.2278 0.7500
W1 W 0.1933 0.4969 0.7298
O1 O 0.0235 0.3935 0.9767
O2 O 0.1300 0.0778 0.6891
O3 O 0.1881 0.4339 0.4427
O4 O 0.2304 0.1583 0.1356
```

=====

BaMg2Cr: single point on PBEsol structure, meta-GGA SCAN.

Summary:
As for the density of states at the Fermi level: 6.66 states/eV per cell. Its crystal system is trigonal. The calculation puts the total DFT energy (no corrections) at -16.5345 eV/atom. The calculation puts the total magnetization at 12.2 Bohr magnetons per cell.

CIF file:
```
data_BaMg2Cr
_chemical_formula_sum 'Ba3 Mg6 Cr3'
_cell_length_a 3.3891
_cell_length_b 3.3891
_cell_length_c 31.8755
_cell_angle_alpha 90.00
_cell_angle_beta 90.00
_cell_angle_gamma 120.00
_space_group_name_H-M_alt 'R -3 m'
_space_group_IT_number 166
_space_group_name_Hall '-R 3 2"'
loop_
_atom_site_label
_atom_site_type_symbol
_atom_site_fract_x
_atom_site_fract_y
_atom_site_fract_z
Ba1 Ba 0.0000 0.0000 0.0000
Mg1 Mg 0.0000 0.0000 0.2352
Cr1 Cr 0.0000 0.0000 0.5000
```

=====

RbYW2: single point on PBEsol structure, meta-GGA SCAN.

Summary:
As for the density of states at the Fermi level: 19.64 states/eV per cell. Its crystal system is cubic. The calculation puts the total DFT energy (no corrections) at -44.5295 eV/atom. The calculation puts the total magnetization at 16.2 Bohr magnetons per cell.

CIF file:
```
data_RbYW2
_chemical_formula_sum 'Rb4 Y4 W8'
_cell_length_a 7.0614
_cell_length_b 7.0614
_cell_length_c 7.0614
_cell_angle_alpha 90.00
_cell_angle_beta 90.00
_cell_angle_gamma 90.00
_space_group_name_H-M_alt 'F m -3 m'
_space_group_IT_number 225
_space_group_name_Hall '-F 4 2 3'
loop_
_atom_site_label
_atom_site_type_symbol
_atom_site_fract_x
_atom_site_fract_y
_atom_site_fract_z
Rb1 Rb 0.0000 0.0000 0.0000
Y1 Y 0.0000 0.0000 0.5000
W1 W 0.2500 0.2500 0.2500
```

=====

MgGaI2N: single point on PBEsol structure, meta-GGA SCAN.

Summary:
Its crystal system is tetragonal. The calculation puts the total DFT energy (no corrections) at -20.7884 eV/atom. The formation energy from raw total energies is 0.03 eV/atom. The calculation puts the total magnetization at 2.0 Bohr magnetons per cell.

CIF file:
```
data_MgGaI2N
_chemical_formula_sum 'Mg1 Ga1 I2 N1'
_cell_length_a 5.7956
_cell_length_b 5.7956
_cell_length_c 4.0898
_cell_angle_alpha 90.00
_cell_angle_beta 90.00
_cell_angle_gamma 90.00
_space_group_name_H-M_alt 'P 4/m m m'
_space_group_IT_number 123
_space_group_name_Hall '-P 4 2'
loop_
_atom_site_label
_atom_site_type_symbol
_atom_site_fract_x
_atom_site_fract_y
_atom_site_fract_z
Mg1 Mg 0.0000 0.0000 0.0000
Ga1 Ga 0.5000 0.5000 0.5000
I1 I 0.0000 0.5000 0.0000
N1 N 0.0000 0.0000 0.5000
```

=====

Mn2MoOsF: single point on PBEsol structure, meta-GGA SCAN.

Summary:
As for the density of states at the Fermi level: 3.48 states/eV per cell. Its crystal system is tetragonal. The calculation puts the total DFT energy (no corrections) at -28.5103 eV/atom. The formation energy from raw total energies is 0.85 eV/atom. The calculation puts the total magnetization at 6.2 Bohr magnetons per cell.

CIF file:
```
data_Mn2MoOsF
_chemical_formula_sum 'Mn2 Mo1 Os1 F1'
_cell_length_a 4.4879
_cell_length_b 4.4879
_cell_length_c 3.7516
_cell_angle_alpha 90.00
_cell_angle_beta 90.00
_cell_angle_gamma 90.00
_space_group_name_H-M_alt 'P 4/m m m'
_space_group_IT_number 123
_space_group_name_Hall '-P 4 2'
loop_
_atom_site_label
_atom_site_type_symbol
_atom_site_fract_x
_atom_site_fract_y
_atom_site_fract_z
Mn1 Mn 0.0000 0.5000 0.0000
Mo1 Mo 0.0000 0.0000 0.0000
Os1 Os 0.5000 0.5000 0.5000
F1 F 0.0000 0.0000 0.5000
```

=====

La3HfBi: single point on PBEsol structure, meta-GGA SCAN.

Summary:
As for the density of states at the Fermi level: 6.77 states/eV per cell. Its crystal system is cubic. The calculation puts the total DFT energy (no corrections) at -53.5716 eV/atom. The calculation puts the total magnetization at 4.0 Bohr magnetons per cell.

CIF file:
```
data_La3HfBi
_chemical_formula_sum 'La3 Hf1 Bi1'
_cell_length_a 5.9707
_cell_length_b 5.9707
_cell_length_c 5.9707
_cell_angle_alpha 90.00
_cell_angle_beta 90.00
_cell_angle_gamma 90.00
_space_group_name_H-M_alt 'P m -3 m'
_space_group_IT_number 221
_space_group_name_Hall '-P 4 2 3'
loop_
_atom_site_label
_atom_site_type_symbol
_atom_site_fract_x
_atom_site_fract_y
_atom_site_fract_z
La1 La 0.0000 0.0000 0.5000
Hf1 Hf 0.5000 0.5000 0.5000
Bi1 Bi 0.0000 0.0000 0.0000
```